Model one:
# P2IrSN (GGA-PBE, relaxed)
data_P2IrSN
_chemical_formula_sum 'P2 Ir1 S1 N1'
_cell_length_a 3.938
_cell_length_b 3.938
_cell_length_c 4.080
_cell_angle_alpha 90.00
_cell_angle_beta 90.00
_cell_angle_gamma 90.00
_symmetry_space_group_name_H-M 'P 4/m m m'
_symmetry_Int_Tables_number 123
_symmetry_space_group_name_Hall '-P 4 2'
loop_
_atom_site_label
_atom_site_fract_x
_atom_site_fract_y
_atom_site_fract_z
_atom_site_occupancy
P1 0.000 0.500 0.000 1
Ir1 0.000 0.000 0.500 1
S1 0.500 0.500 0.500 1
N1 0.500 0.500 0.000 1
# Total magnetization ... 0.0 Bohr magnetons per cell
# Mass density ... 7.88 g cm⁻³

=====

Model two:
# P2IrSN (GGA-PBE, relaxed)
data_P2IrSN
_chemical_formula_sum 'P2 Ir1 S1 N1'
_cell_length_a 4.504
_cell_length_b 4.504
_cell_length_c 4.772
_cell_angle_alpha 90.00
_cell_angle_beta 90.00
_cell_angle_gamma 90.00
_symmetry_space_group_name_H-M 'P 4/m m m'
_symmetry_Int_Tables_number 123
_symmetry_space_group_name_Hall '-P 4 2'
loop_
_atom_site_label
_atom_site_fract_x
_atom_site_fract_y
_atom_site_fract_z
_atom_site_occupancy
P1 0.000 0.500 0.000 1
Ir1 0.000 0.000 0.000 1
S1 0.000 0.000 0.500 1
N1 0.500 0.500 0.500 1
# Total magnetization ... 0.0 Bohr magnetons per cell
# Mass density ... 5.15 g cm⁻³

=====

Stability, descending: model one, model two

=====

Model one:
# PIrSe2N (GGA-PBE, relaxed)
data_PIrSe2N
_chemical_formula_sum 'P1 Ir1 Se2 N1'
_cell_length_a 5.071
_cell_length_b 5.071
_cell_length_c 3.654
_cell_angle_alpha 90.00
_cell_angle_beta 90.00
_cell_angle_gamma 90.00
_symmetry_space_group_name_H-M 'P 4/m m m'
_symmetry_Int_Tables_number 123
_symmetry_space_group_name_Hall '-P 4 2'
loop_
_atom_site_label
_atom_site_fract_x
_atom_site_fract_y
_atom_site_fract_z
_atom_site_occupancy
P1 0.000 0.000 0.000 1
Ir1 0.500 0.500 0.500 1
Se1 0.000 0.500 0.500 1
N1 0.500 0.500 0.000 1
# Total magnetization ... 0.0 Bohr magnetons per cell
# Mass density ... 6.98 g cm⁻³

=====

Model two:
# PIrSe2N (GGA-PBE, relaxed)
data_PIrSe2N
_chemical_formula_sum 'P1 Ir1 Se2 N1'
_cell_length_a 4.918
_cell_length_b 4.918
_cell_length_c 3.151
_cell_angle_alpha 90.00
_cell_angle_beta 90.00
_cell_angle_gamma 90.00
_symmetry_space_group_name_H-M 'P 4/m m m'
_symmetry_Int_Tables_number 123
_symmetry_space_group_name_Hall '-P 4 2'
loop_
_atom_site_label
_atom_site_fract_x
_atom_site_fract_y
_atom_site_fract_z
_atom_site_occupancy
P1 0.000 0.000 0.000 1
Ir1 0.500 0.500 0.500 1
Se1 0.000 0.500 0.000 1
N1 0.000 0.000 0.500 1
# Total magnetization ... 0.0 Bohr magnetons per cell
# Mass density ... 8.61 g cm⁻³

=====

Stability, descending: model one, model two

=====

Model one:
# TePIrN2 (GGA-PBE, relaxed)
data_TePIrN2
_chemical_formula_sum 'Te1 P1 Ir1 N2'
_cell_length_a 3.769
_cell_length_b 3.769
_cell_length_c 6.332
_cell_angle_alpha 90.00
_cell_angle_beta 90.00
_cell_angle_gamma 90.00
_symmetry_space_group_name_H-M 'P 4/m m m'
_symmetry_Int_Tables_number 123
_symmetry_space_group_name_Hall '-P 4 2'
loop_
_atom_site_label
_atom_site_fract_x
_atom_site_fract_y
_atom_site_fract_z
_atom_site_occupancy
Te1 0.000 0.000 0.000 1
P1 0.500 0.500 0.000 1
Ir1 0.000 0.000 0.500 1
N1 0.000 0.500 0.500 1
# Total magnetization ... 0.4 Bohr magnetons per cell
# Mass density ... 6.99 g cm⁻³

=====

Model two:
# TePIrN2 (GGA-PBE, relaxed)
data_TePIrN2
_chemical_formula_sum 'Te1 P1 Ir1 N2'
_cell_length_a 3.521
_cell_length_b 3.521
_cell_length_c 8.153
_cell_angle_alpha 90.00
_cell_angle_beta 90.00
_cell_angle_gamma 90.00
_symmetry_space_group_name_H-M 'P 4/m m m'
_symmetry_Int_Tables_number 123
_symmetry_space_group_name_Hall '-P 4 2'
loop_
_atom_site_label
_atom_site_fract_x
_atom_site_fract_y
_atom_site_fract_z
_atom_site_occupancy
Te1 0.000 0.000 0.000 1
P1 0.000 0.000 0.500 1
Ir1 0.500 0.500 0.000 1
N1 0.000 0.500 0.500 1
# Total magnetization ... 0.6 Bohr magnetons per cell
# Mass density ... 6.23 g cm⁻³

=====

Stability, descending: model one, model two

=====

Model one:
# Pa2IrN (GGA-PBE, relaxed)
data_Pa2IrN
_chemical_formula_sum 'Pa6 Ir3 N3'
_cell_length_a 3.5689
_cell_length_b 3.5689
_cell_length_c 20.2897
_cell_angle_alpha 90.00
_cell_angle_beta 90.00
_cell_angle_gamma 120.00
_symmetry_space_group_name_H-M 'R -3 m'
_symmetry_Int_Tables_number 166
_symmetry_space_group_name_Hall '-R 3 2"'
loop_
_atom_site_label
_atom_site_fract_x
_atom_site_fract_y
_atom_site_fract_z
_atom_site_occupancy
Pa1 0.0000 0.0000 0.2365 1
Ir1 0.0000 0.0000 0.0000 1
N1 0.0000 0.0000 0.5000 1
# Total magnetization ... 0.0 Bohr magnetons per cell
# Mass density ... 14.88 g cm⁻³

=====

Model two:
# Pa2IrN (GGA-PBE, relaxed)
data_Pa2IrN
_chemical_formula_sum 'Pa2 Ir1 N1'
_cell_length_a 3.017
_cell_length_b 3.017
_cell_length_c 7.310
_cell_angle_alpha 90.00
_cell_angle_beta 90.00
_cell_angle_gamma 90.00
_symmetry_space_group_name_H-M 'P 4/m m m'
_symmetry_Int_Tables_number 123
_symmetry_space_group_name_Hall '-P 4 2'
loop_
_atom_site_label
_atom_site_fract_x
_atom_site_fract_y
_atom_site_fract_z
_atom_site_occupancy
Pa1 0.000 0.000 0.212 1
Ir1 0.500 0.500 0.500 1
N1 0.500 0.500 0.000 1
# Total magnetization ... 0.0 Bohr magnetons per cell
# Mass density ... 16.68 g cm⁻³

=====

Stability, descending: model one, model two

=====

Model one:
# Ir3PbN (GGA-PBE, relaxed)
data_Ir3PbN
_chemical_formula_sum 'Ir3 Pb1 N1'
_cell_length_a 4.244
_cell_length_b 4.244
_cell_length_c 4.244
_cell_angle_alpha 90.00
_cell_angle_beta 90.00
_cell_angle_gamma 90.00
_symmetry_space_group_name_H-M 'P m -3 m'
_symmetry_Int_Tables_number 221
_symmetry_space_group_name_Hall '-P 4 2 3'
loop_
_atom_site_label
_atom_site_fract_x
_atom_site_fract_y
_atom_site_fract_z
_atom_site_occupancy
Ir1 0.000 0.000 0.500 1
Pb1 0.500 0.500 0.500 1
N1 0.000 0.000 0.000 1
# Total magnetization ... 0.0 Bohr magnetons per cell
# Mass density ... 17.33 g cm⁻³

=====

Model two:
# Ir3PbN (GGA-PBE, relaxed)
data_Ir3PbN
_chemical_formula_sum 'Ir3 Pb1 N1'
_cell_length_a 5.086
_cell_length_b 5.086
_cell_length_c 5.086
_cell_angle_alpha 90.00
_cell_angle_beta 90.00
_cell_angle_gamma 90.00
_symmetry_space_group_name_H-M 'P m -3 m'
_symmetry_Int_Tables_number 221
_symmetry_space_group_name_Hall '-P 4 2 3'
loop_
_atom_site_label
_atom_site_fract_x
_atom_site_fract_y
_atom_site_fract_z
_atom_site_occupancy
Ir1 0.000 0.000 0.500 1
Pb1 0.000 0.000 0.000 1
N1 0.500 0.500 0.500 1
# Total magnetization ... 5.5 Bohr magnetons per cell
# Mass density ... 10.07 g cm⁻³

=====

Stability, descending: model one, model two

=====

Model one:
# TeIrPbN2 (GGA-PBE, relaxed)
data_TeIrPbN2
_chemical_formula_sum 'Te1 Ir1 Pb1 N2'
_cell_length_a 4.173
_cell_length_b 4.173
_cell_length_c 6.497
_cell_angle_alpha 90.00
_cell_angle_beta 90.00
_cell_angle_gamma 90.00
_symmetry_space_group_name_H-M 'P 4/m m m'
_symmetry_Int_Tables_number 123
_symmetry_space_group_name_Hall '-P 4 2'
loop_
_atom_site_label
_atom_site_fract_x
_atom_site_fract_y
_atom_site_fract_z
_atom_site_occupancy
Te1 0.000 0.000 0.000 1
Ir1 0.500 0.500 0.000 1
Pb1 0.000 0.000 0.500 1
N1 0.000 0.500 0.500 1
# Total magnetization ... 3.7 Bohr magnetons per cell
# Mass density ... 8.15 g cm⁻³

=====

Model two:
# TeIrPbN2 (GGA-PBE, relaxed)
data_TeIrPbN2
_chemical_formula_sum 'Te1 Ir1 Pb1 N2'
_cell_length_a 4.065
_cell_length_b 4.065
_cell_length_c 5.654
_cell_angle_alpha 90.00
_cell_angle_beta 90.00
_cell_angle_gamma 90.00
_symmetry_space_group_name_H-M 'P 4/m m m'
_symmetry_Int_Tables_number 123
_symmetry_space_group_name_Hall '-P 4 2'
loop_
_atom_site_label
_atom_site_fract_x
_atom_site_fract_y
_atom_site_fract_z
_atom_site_occupancy
Te1 0.000 0.000 0.000 1
Ir1 0.000 0.000 0.500 1
Pb1 0.500 0.500 0.000 1
N1 0.000 0.500 0.500 1
# Total magnetization ... 0.0 Bohr magnetons per cell
# Mass density ... 9.86 g cm⁻³

=====

Stability, descending: model two, model one